The following is a PBE calculation of crystalline Cs2BeBiBr6 at its relaxed geometry, from Alexandria via LeMat-Bulk.

Energy relative to the elements, uncorrected ... -1.07 eV per atom
DOS at the Fermi energy ... 0.0 states/eV/f.u.

a = 8.1748 Å, b = 8.1748 Å, c = 8.1748 Å
α = 117.97°, β = 117.97°, γ = 93.56°
Element x y z (fractional)
1 Cs 0.2500 0.7500 0.5000
2 Cs 0.7500 0.2500 0.5000
3 Be 0.0000 0.0000 0.0000
4 Bi 0.5000 0.5000 0.0000
5 Br 0.1820 0.1820 0.0000
6 Br 0.2588 0.2588 0.5176
7 Br 0.2588 0.7412 0.0000
8 Br 0.7412 0.2588 0.0000
9 Br 0.7412 0.7412 0.4824
10 Br 0.8180 0.8180 0.0000